Record 1
Computed, not measured: Na3GaHg after structural relaxation at the GGA-PBE level of DFT.

The calculated density is 3.0 g/cm3. The energy above the most stable polymorph in this dataset comes out at 281 meV per atom. The calculation puts the formation energy at 15.2 kJ/mol of atoms.

The structure belongs to space group Pm-3m (No. 221); the cell edges are 5.706, 5.706 and 5.706 Å and the angles 90.00°, 90.00° and 90.00°. The asymmetric unit holds Na at (0.000, 0.000, 0.500), Ga at (0.000, 0.000, 0.000) and Hg at (0.500, 0.500, 0.500).



Record 2
Computed, not measured: Na2GaHg8 after structural relaxation at the GGA-PBE level of DFT.

The calculated density is 10.1 g/cm3. The calculation puts the formation energy at -10.9 kJ/mol of atoms.

The structure belongs to space group C2/m (No. 12); the cell edges are 17.037, 5.169 and 6.670 Å and the angles 90.00°, 104.74° and 90.00°. The asymmetric unit holds Na at (0.204, 0.000, 0.164), Ga at (0.000, 0.500, 0.500), Hg at (0.010, 0.000, 0.239), Hg at (0.113, 0.500, 0.905), Hg at (0.149, 0.500, 0.375) and Hg at (0.170, 0.000, 0.659).



Record 3
Computed, not measured: Na2GaHg3 after structural relaxation at the GGA-PBE level of DFT.

The calculated density is 7.2 g/cm3. The energy above the most stable polymorph in this dataset comes out at 94 meV per atom. The calculation puts the formation energy at -10.3 kJ/mol of atoms.

The structure belongs to space group Cmcm (No. 63); the cell edges are 3.950, 22.391 and 7.467 Å and the angles 90.00°, 90.00° and 90.00°. The asymmetric unit holds Na at (0.000, 0.023, 0.250), Na at (0.000, 0.168, 0.750), Ga at (0.000, 0.360, 0.750), Hg at (0.000, 0.226, 0.250) and Hg at (0.000, 0.427, 0.054).



Record 4
Computed, not measured: Na6GaHg5 after structural relaxation at the GGA-PBE level of DFT.

The calculated density is 6.5 g/cm3. The calculation puts the formation energy at -18.9 kJ/mol of atoms.

The structure belongs to space group P2/m (No. 10); the cell edges are 5.547, 7.005 and 8.012 Å and the angles 90.00°, 98.05° and 90.00°. The asymmetric unit holds Na at (0.000, 0.248, 0.000), Na at (0.264, 0.255, 0.654), Ga at (0.500, 0.500, 0.000), Hg at (0.241, 0.000, 0.320), Hg at (0.249, 0.500, 0.298) and Hg at (0.500, 0.000, 0.000).



Record 5
Computed, not measured: Na2GaHg after structural relaxation at the GGA-PBE level of DFT.

The calculated density is 5.1 g/cm3. The energy above the most stable polymorph in this dataset comes out at 0 meV per atom. The calculation puts the formation energy at -13.8 kJ/mol of atoms.

The structure belongs to space group Cm (No. 8); the cell edges are 11.077, 4.618 and 9.405 Å and the angles 90.00°, 121.23° and 90.00°. The asymmetric unit holds Na at (0.000, 0.000, 0.000), Na at (0.002, 0.000, 0.498), Na at (0.107, 0.500, 0.310), Na at (0.398, 0.000, 0.688), Ga at (0.247, 0.500, 0.068), Ga at (0.250, 0.000, 0.924), Hg at (0.200, 0.500, 0.697) and Hg at (0.304, 0.000, 0.298).



Record 6
Computed, not measured: NaGaHg3 after structural relaxation at the GGA-PBE level of DFT.

The calculated density is 9.2 g/cm3. The energy above the most stable polymorph in this dataset comes out at 0 meV per atom. The calculation puts the formation energy at -10.5 kJ/mol of atoms.

The structure belongs to space group C2/c (No. 15); the cell edges are 13.285, 11.221 and 7.013 Å and the angles 90.00°, 105.54° and 90.00°. The asymmetric unit holds Na at (0.000, 0.031, 0.250), Na at (0.000, 0.306, 0.750), Ga at (0.102, 0.307, 0.316), Hg at (0.132, 0.498, 0.578), Hg at (0.169, 0.143, 0.626) and Hg at (0.185, 0.140, 0.082).



Record 7
Computed, not measured: Na2GaHg after structural relaxation at the GGA-PBE level of DFT.

The calculated density is 5.4 g/cm3. The energy above the most stable polymorph in this dataset comes out at 80 meV per atom. The calculation puts the formation energy at -6.1 kJ/mol of atoms.

The structure belongs to space group Fm-3m (No. 225); the cell edges are 7.318, 7.318 and 7.318 Å and the angles 90.00°, 90.00° and 90.00°. The asymmetric unit holds Na at (0.250, 0.250, 0.250), Ga at (0.000, 0.000, 0.000) and Hg at (0.000, 0.000, 0.500).



Record 8
Computed, not measured: NaGaHg4 after structural relaxation at the GGA-PBE level of DFT.

The calculated density is 9.2 g/cm3. The energy above the most stable polymorph in this dataset comes out at 15 meV per atom. The calculation puts the formation energy at -5.4 kJ/mol of atoms.

The structure belongs to space group Cmcm (No. 63); the cell edges are 5.396, 14.866 and 8.043 Å and the angles 90.00°, 90.00° and 90.00°. The asymmetric unit holds Na at (0.000, 0.130, 0.250), Ga at (0.000, 0.362, 0.250), Hg at (0.000, 0.077, 0.750), Hg at (0.000, 0.280, 0.568) and Hg at (0.000, 0.500, 0.000).



Record 9
Computed, not measured: Na2GaHg after structural relaxation at the GGA-PBE level of DFT.

The calculated density is 4.9 g/cm3. The energy above the most stable polymorph in this dataset comes out at 189 meV per atom. The calculation puts the formation energy at 4.4 kJ/mol of atoms.

The structure belongs to space group R-3m (No. 166, hexagonal axes); the cell edges are 3.3334, 3.3334 and 33.1561 Å and the angles 90.00°, 90.00° and 120.00°. The asymmetric unit holds Na at (0.0000, 0.0000, 0.0896), Ga at (0.0000, 0.0000, 0.0000) and Hg at (0.0000, 0.0000, 0.5000).



Record 10
Computed, not measured: NaGa3Hg after structural relaxation at the GGA-PBE level of DFT.

The calculated density is 5.9 g/cm3. The energy above the most stable polymorph in this dataset comes out at 0 meV per atom. The calculation puts the formation energy at 7.3 kJ/mol of atoms.

The structure belongs to space group P6_3/mmc (No. 194); the cell edges are 6.6587, 6.6587 and 6.2903 Å and the angles 90.00°, 90.00° and 120.00°. The asymmetric unit holds Na at (0.3333, 0.6667, 0.2500), Ga at (0.2006, 0.4012, 0.7500) and Hg at (0.0000, 0.0000, 0.0000).



Record 11
Computed, not measured: Na3GaHg4 after structural relaxation at the GGA-PBE level of DFT.

The calculated density is 7.3 g/cm3. The energy above the most stable polymorph in this dataset comes out at 69 meV per atom. The calculation puts the formation energy at -11.3 kJ/mol of atoms.

The structure belongs to space group Imm2 (No. 44); the cell edges are 6.356, 10.782 and 6.213 Å and the angles 90.00°, 90.00° and 90.00°. The asymmetric unit holds Na at (0.000, 0.000, 0.000), Na at (0.000, 0.289, 0.257), Ga at (0.000, 0.500, 0.626), Hg at (0.000, 0.249, 0.748) and Hg at (0.232, 0.000, 0.510).



Record 12
Computed, not measured: Na2GaHg2 after structural relaxation at the GGA-PBE level of DFT.

The calculated density is 6.6 g/cm3. The energy above the most stable polymorph in this dataset comes out at 0 meV per atom. The calculation puts the formation energy at -16.0 kJ/mol of atoms.

The structure belongs to space group C2/m (No. 12); the cell edges are 11.391, 4.723 and 10.705 Å and the angles 90.00°, 115.10° and 90.00°. The asymmetric unit holds Na at (0.007, 0.000, 0.339), Na at (0.183, 0.000, 0.100), Ga at (0.218, 0.500, 0.346), Hg at (0.030, 0.500, 0.877) and Hg at (0.146, 0.500, 0.571).



Respective V values: 185.7; 568.0; 660.5; 308.3; 411.4; 1007.3; 391.9; 645.2; 319.1; 241.6; 425.8; 521.5 Å³/cell.